! AlCuAg2F6, optimized geometry, DFT GGA-PBE; values from VASP
! - Formation energy without anion corrections: -20.35 eV per formula unit
! - M_tot: 0.0 μB/cell
! - Crystal system: triclinic
! - E: -45.12 eV for the cell shown
&SYSTEM
  ibrav = 0, nat = 10, ntyp = 4
/
ATOMIC_SPECIES
Al 26.98 Al.upf
Cu 63.55 Cu.upf
Ag 107.87 Ag.upf
F 19.00 F.upf
CELL_PARAMETERS angstrom
5.116 0.000 0.000
-1.288 5.336 0.000
-1.261 -1.580 5.112
ATOMIC_POSITIONS crystal
Al 0.000 0.000 0.000
Cu 0.000 0.500 0.500
Ag 0.499 0.334 0.665
Ag 0.501 0.666 0.335
F 0.152 0.792 0.789
F 0.246 0.294 0.990
F 0.249 0.992 0.290
F 0.751 0.008 0.710
F 0.754 0.706 0.010
F 0.848 0.208 0.211